Material: Ta5Mo11
Method: DFT, PBEsol
State: optimized geometry

POSCAR file:
```
Ta5Mo11
1.0
-3.075 3.990 -3.842
2.404 -3.001 -5.041
-5.005 -3.896 -0.040
Mo Ta
11 5
Cartesian
-4.259 -2.199 -6.696
-2.730 -4.183 -4.786
-3.934 -2.672 -2.251
-5.464 -0.686 -4.163
-0.213 -2.222 -4.762
-0.113 -4.952 -5.052
-5.321 -3.397 -4.492
-2.591 -6.881 -5.072
-1.743 -0.237 -6.673
-4.136 -4.884 -6.986
-2.846 -1.464 -4.467
-3.769 -5.394 -2.586
-1.307 -3.475 -2.563
-2.945 1.275 -4.134
-1.419 -0.704 -2.228
-1.675 -2.957 -6.954
```

Output
Calculated formation energy   -111 meV per atom
V   254.78 Å³ per cell
Calculated total energy   -193.98 eV per cell